Entry 1:
Compound: TlAs2Cl
Source: the Alexandria database
Functional: PBEsol
Structure: relaxed

Cell: 3.936 3.936 6.705 Å, 106.46 106.46 92.00°
Positions (direct):
Tl: 0.500 0.500 0.000
As: 0.500 0.000 0.500
As: 0.000 0.500 0.500
Cl: 0.000 0.000 0.000

Values from the calculation:
ρ (g/cm³): 6.826
M_tot (μB/atom): 0.000
E_form (uncorrected) (eV/atom): 0.053

=====

Entry 2:
Compound: La2VFeO6
Source: the Alexandria database
Functional: PBEsol
Structure: relaxed

Cell: 5.421 5.371 7.640 Å, 90.00 90.06 90.00°
Positions (direct):
La: 0.504 0.483 0.749
La: 0.996 0.983 0.751
La: 0.496 0.517 0.251
La: 0.004 0.017 0.249
V: 0.500 0.000 0.000
V: 0.000 0.500 0.500
Fe: 0.500 0.000 0.500
Fe: 0.000 0.500 0.000
O: 0.438 0.005 0.749
O: 0.062 0.505 0.751
O: 0.562 0.995 0.251
O: 0.938 0.495 0.249
O: 0.769 0.231 0.968
O: 0.731 0.731 0.532
O: 0.231 0.769 0.032
O: 0.269 0.269 0.468
O: 0.230 0.771 0.467
O: 0.270 0.271 0.033
O: 0.770 0.229 0.533
O: 0.730 0.729 0.967

Values from the calculation:
ρ (g/cm³): 7.175
M_tot (μB/atom): 0.101
E_form (uncorrected) (eV/atom): -2.711

=====

Entry 3:
Compound: Zr2SbMo
Source: the Alexandria database
Functional: PBEsol
Structure: relaxed

Cell: 3.779 4.538 4.538 Å, 89.15 90.00 90.00°
Positions (direct):
Mo: 0.500 0.000 0.000
Sb: 0.500 0.500 0.500
Zr: 0.000 0.500 0.000
Zr: 0.000 0.000 0.500

Values from the calculation:
ρ (g/cm³): 8.538
M_tot (μB/atom): 0.000
E_form (uncorrected) (eV/atom): -0.316

=====

Entry 4:
Compound: Li3Co4B4O12
Source: the Alexandria database
Functional: PBEsol
Structure: relaxed

Cell: 5.130 8.894 9.719 Å, 90.00 90.36 90.00°
Positions (direct):
B: 0.336 0.589 0.378
B: 0.164 0.409 0.633
B: 0.664 0.591 0.133
B: 0.836 0.411 0.878
B: 0.160 0.088 0.137
B: 0.331 0.910 0.888
B: 0.831 0.090 0.388
B: 0.660 0.912 0.637
Co: 0.335 0.581 0.871
Co: 0.660 0.584 0.624
Co: 0.160 0.416 0.124
Co: 0.835 0.419 0.371
Co: 0.155 0.069 0.632
Co: 0.839 0.081 0.889
Co: 0.339 0.919 0.389
Co: 0.655 0.931 0.132
O: 0.206 0.721 0.355
O: 0.307 0.536 0.670
O: 0.403 0.579 0.098
O: 0.784 0.729 0.144
O: 0.602 0.591 0.415
O: 0.102 0.409 0.915
O: 0.214 0.451 0.359
O: 0.714 0.549 0.859
O: 0.284 0.271 0.644
O: 0.807 0.464 0.170
O: 0.903 0.421 0.598
O: 0.284 0.221 0.154
O: 0.706 0.279 0.855
O: 0.098 0.086 0.413
O: 0.206 0.043 0.848
O: 0.696 0.221 0.404
O: 0.289 0.953 0.166
O: 0.789 0.047 0.666
O: 0.903 0.081 0.091
O: 0.403 0.919 0.591
O: 0.196 0.779 0.904
O: 0.598 0.914 0.913
O: 0.706 0.957 0.348
O: 0.784 0.779 0.654
Li: 0.164 0.751 0.125
Li: 0.839 0.751 0.353
Li: 0.339 0.249 0.853
Li: 0.341 0.247 0.352
Li: 0.664 0.249 0.625
Li: 0.841 0.753 0.852

Values from the calculation:
ρ (g/cm³): 3.684
M_tot (μB/atom): 0.565
E_form (uncorrected) (eV/atom): -1.703